Record 1
SmDySb2O8, relaxed, DFT PBE; Fermi-level density of states = 0.0 states/eV/f.u.; electronic total energy = -85.2 eV/f.u.; V = 159 Å³/cell
1.0
5.301 0.000 0.000
0.000 5.301 0.000
-2.650 -2.650 5.664
Sm Dy Sb O
1 1 2 8
Cartesian
2.650 0.000 2.832
0.000 0.000 0.000
2.650 2.650 0.000
0.000 2.650 2.832
3.619 3.988 0.988
1.681 1.313 0.988
1.342 1.718 3.849
-1.342 -1.718 3.849
4.368 1.309 1.815
0.932 3.992 1.815
-1.337 0.969 4.676
1.337 -0.969 4.676



Record 2
DySnSbO6, relaxed, DFT PBE; electronic total energy = -60.2 eV/f.u.; V = 232 Å³/cell
1.0
5.478 0.000 0.000
-2.739 4.744 0.000
0.000 0.000 8.912
Dy Sn Sb O
2 2 2 12
Cartesian
0.000 3.162 2.228
2.739 1.581 6.684
0.000 0.000 0.000
0.000 0.000 4.456
2.739 1.581 2.228
0.000 3.162 6.684
1.972 3.095 1.120
4.434 1.489 1.120
-0.928 4.584 5.576
-1.695 3.255 7.793
1.044 1.489 3.337
3.506 3.095 3.337
0.928 4.584 7.793
3.666 0.160 3.337
-0.767 1.648 5.576
1.811 0.160 1.120
1.695 3.255 5.576
0.767 1.648 7.793



Record 3
Sr2DySbO6, relaxed, DFT PBE; Fermi-level density of states = 0.0 states/eV/f.u.; electronic total energy = -68.8 eV/f.u.; V = 289 Å³/cell
1.0
5.929 0.000 0.000
0.000 5.862 -0.001
0.000 5.828 8.324
Sr Dy Sb O
4 2 2 12
Cartesian
2.759 2.872 2.083
0.206 5.787 6.245
3.170 8.818 6.240
5.723 5.903 2.078
2.964 5.845 4.162
0.000 2.931 0.000
0.000 2.914 4.162
2.964 0.000 0.000
2.833 6.291 6.362
1.344 1.156 0.356
1.775 10.094 7.992
4.308 7.619 3.805
4.154 1.596 0.331
3.096 5.399 1.961
1.189 7.180 3.830
1.621 4.071 4.518
4.585 10.534 7.967
5.797 8.313 6.123
0.132 3.377 2.200
4.740 4.510 4.493



Record 4
TbDy2SbO8, relaxed, DFT PBE; Fermi-level density of states = 1.0 states/eV/f.u.; electronic total energy = -87.5 eV/f.u.; V = 155 Å³/cell
1.0
-1.062 1.958 -3.200
-4.122 -3.574 -0.377
-4.356 4.532 3.675
Tb Dy Sb O
1 2 1 8
Cartesian
-2.178 2.266 1.838
-5.749 2.614 1.000
-3.790 0.302 -0.901
0.000 0.000 0.000
-4.164 -1.678 0.376
-8.081 2.785 1.507
-2.997 2.008 -2.393
-5.376 4.593 -0.277
-1.458 0.130 -1.408
-6.543 0.908 2.491
-5.821 0.595 0.005
-3.718 2.321 0.094



Record 5
TbDySbO2, relaxed, DFT PBE; Fermi-level density of states = 1.3 states/eV/f.u.; electronic total energy = -36.8 eV/f.u.; V = 100 Å³/cell
1.0
3.865 0.000 0.000
0.000 3.865 0.000
-1.933 -1.933 6.696
Tb Dy Sb O
1 1 1 2
Cartesian
1.933 1.933 4.480
0.000 0.000 2.224
1.933 1.933 0.007
1.933 0.000 3.340
0.000 1.933 3.340



Record 6
DyTl2SbO4, relaxed, DFT PBE; Fermi-level density of states = 0.2 states/eV/f.u.; electronic total energy = -45.5 eV/f.u.; V = 275 Å³/cell
1.0
-1.719 7.095 -0.089
-6.892 -1.644 1.760
5.393 -2.305 4.195
Dy Tl Sb O
2 4 2 8
Cartesian
-3.446 -0.822 0.880
-2.469 5.121 2.888
-0.860 3.548 -0.045
1.837 2.395 2.053
2.697 -1.153 2.098
-4.306 2.726 0.835
-1.609 1.573 2.933
3.674 4.790 4.106
-0.154 -2.111 5.236
-0.589 3.729 2.807
-2.629 -0.584 3.059
-3.064 5.257 0.630
-1.150 2.095 5.234
-3.417 3.064 3.472
0.199 0.082 2.394
-2.068 1.051 0.632



Record 7
Dy2Tl2SbO6, relaxed, DFT PBE; Fermi-level density of states = 4.5 states/eV/f.u.; electronic total energy = -70.1 eV/f.u.; V = 203 Å³/cell
1.0
5.943 -0.012 0.082
-2.948 5.161 0.082
-1.039 -1.785 6.565
Dy Tl Sb O
2 2 1 6
Cartesian
-0.494 2.539 3.365
2.451 0.825 3.365
4.474 0.843 0.082
-1.478 4.306 0.082
-0.519 -0.893 3.283
1.523 2.618 4.483
-1.478 0.708 4.387
0.434 0.746 2.247
1.347 -0.935 4.387
3.435 2.656 2.343
0.611 4.299 2.343



Record 8
DyTl3Sb2O9, relaxed, DFT PBE; Fermi-level density of states = 7.7 states/eV/f.u.; electronic total energy = -85.1 eV/f.u.; V = 217 Å³/cell
1.0
-2.982 1.725 4.747
0.340 -5.700 -1.338
6.045 -0.580 4.008
Dy Tl Sb O
1 3 2 9
Cartesian
3.023 -0.290 2.004
3.227 -3.608 3.338
0.000 0.000 0.000
0.177 -0.947 4.078
0.201 -3.318 1.332
3.203 -1.237 6.084
1.760 0.047 6.465
1.925 -2.711 5.817
3.203 -0.787 4.168
0.201 -3.768 3.249
1.479 -1.844 1.599
1.644 -4.603 0.952
-1.491 0.862 2.374
0.170 -2.850 -0.669
-1.321 -1.988 1.704



Record 9
DyTmSb2O8, relaxed, DFT PBE; Fermi-level density of states = 0.0 states/eV/f.u.; electronic total energy = -85.3 eV/f.u.; V = 152 Å³/cell
1.0
-4.267 2.905 -0.846
-0.920 -2.638 -4.422
-0.474 -3.814 5.468
Dy Tm Sb O
1 1 2 8
Cartesian
-3.667 -0.388 0.994
0.000 0.000 0.000
-2.593 0.133 -2.634
-1.994 -3.160 -0.794
-4.171 -0.651 -3.415
-2.106 -0.392 -0.844
-3.471 -2.602 0.311
-0.707 -2.412 3.549
-4.690 0.554 -0.868
-2.453 -2.636 -2.591
-1.606 -4.260 1.719
-3.438 -1.793 2.941



Record 10
DyYSb2O8, relaxed, DFT PBE; Fermi-level density of states = 0.0 states/eV/f.u.; electronic total energy = -87.1 eV/f.u.; V = 155 Å³/cell
1.0
-2.654 4.191 -1.754
-4.543 -2.448 1.024
3.598 1.294 5.539
Dy Y Sb O
1 1 2 8
Cartesian
-1.327 3.178 1.710
0.000 0.000 0.000
-3.598 0.871 -0.365
-2.272 -0.141 3.099
-5.236 1.400 0.501
-1.961 1.117 0.620
-2.113 1.756 3.388
2.113 1.181 3.629
-3.287 3.517 0.485
-3.910 -0.381 2.116
-0.154 0.268 4.881
0.154 3.289 3.617



Record 11
DyZrSbO6, relaxed, DFT PBE; Fermi-level density of states = 0.0 states/eV/f.u.; electronic total energy = -70.9 eV/f.u.; V = 247 Å³/cell
1.0
5.420 0.000 0.000
-2.710 4.694 0.000
0.000 0.000 9.702
Dy Zr Sb O
2 2 2 12
Cartesian
0.000 0.000 0.000
0.000 0.000 4.851
0.000 3.129 2.425
2.710 1.565 7.276
2.710 1.565 2.425
0.000 3.129 7.276
1.816 2.996 1.321
4.397 1.623 1.321
-0.793 4.619 6.172
-1.687 3.071 8.381
1.023 1.623 3.530
3.604 2.996 3.530
0.793 4.619 8.381
3.503 0.075 3.530
-0.894 1.698 6.172
1.917 0.075 1.321
1.687 3.071 6.172
0.894 1.698 8.381



Record 12
DyScO, relaxed, DFT PBE; Fermi-level density of states = 2.9 states/eV/f.u.; offset from the most stable computed form = 0.107 eV per atom; electronic total energy = -21.1 eV/f.u.; V = 119 Å³/cell
1.0
3.987 0.000 0.000
0.000 3.987 0.000
0.000 0.000 7.458
Dy Sc O
2 2 2
Cartesian
0.000 0.000 5.594
0.000 0.000 1.865
1.993 1.993 0.000
1.993 1.993 3.729
1.993 0.000 3.729
0.000 1.993 0.000



Record 13
DyScO, relaxed, DFT PBE; Fermi-level density of states = 2.9 states/eV/f.u.; offset from the most stable computed form = 0.031 eV per atom; electronic total energy = -21.4 eV/f.u.; V = 55 Å³/cell
1.0
-1.354 0.046 -5.364
1.878 -2.760 -0.498
-3.260 -0.302 0.821
Sc O Dy
1 1 1
Cartesian
-0.146 0.005 -0.580
-0.260 -1.927 -1.742
-2.330 -1.095 -2.718



Record 14
DyScO, relaxed, DFT PBE; Fermi-level density of states = 2.0 states/eV/f.u.; offset from the most stable computed form = 0.000 eV per atom; electronic total energy = -21.4 eV/f.u.; V = 119 Å³/cell
1.0
-2.978 -3.026 -0.400
1.854 -1.350 -3.596
3.730 -4.130 3.473
Dy O Sc
2 2 2
Cartesian
4.343 -4.458 1.383
-1.176 -1.860 0.092
3.074 -3.052 0.201
0.094 -3.266 1.274
1.303 -4.253 -0.261
1.865 -2.065 1.737



Record 15
Dy2ScO, relaxed, DFT PBE; Fermi-level density of states = 5.5 states/eV/f.u.; offset from the most stable computed form = 0.461 eV per atom; electronic total energy = -24.0 eV/f.u.; V = 82 Å³/cell
1.0
-1.376 -0.339 2.785
-1.286 -2.680 -0.962
6.737 -4.243 2.813
Sc O Dy
1 1 2
Cartesian
2.037 -3.631 2.318
-1.331 -1.510 0.911
5.515 -3.474 2.302
1.222 -0.770 0.510



Record 16
DySc3O6, relaxed, DFT PBE; Fermi-level density of states = 0.0 states/eV/f.u.; electronic total energy = -88.4 eV/f.u.; V = 236 Å³/cell
1.0
3.208 0.000 0.000
0.000 8.725 0.088
0.000 -2.831 8.387
Dy Sc O
2 6 12
Cartesian
2.406 -1.475 5.829
0.802 7.368 2.645
2.406 1.585 7.008
0.802 4.308 1.466
2.406 4.468 4.325
0.802 1.425 4.149
2.406 1.202 0.779
0.802 4.691 7.695
2.406 2.347 5.088
0.802 3.546 3.387
2.406 7.803 0.859
0.802 -1.909 7.615
2.406 3.304 0.532
0.802 2.589 7.942
2.406 5.540 2.331
0.802 0.353 6.144
2.406 -0.272 3.832
0.802 6.165 4.642
2.406 4.794 6.417
0.802 1.099 2.058



Record 17
Dy2Sc2O, relaxed, DFT PBE; Fermi-level density of states = 5.9 states/eV/f.u.; electronic total energy = -32.6 eV/f.u.; V = 108 Å³/cell
1.0
-2.345 1.595 3.204
-4.143 -0.439 -2.813
-0.720 -4.644 1.785
Dy Sc O
2 2 1
Cartesian
-0.360 -2.322 0.892
-2.072 -0.220 -1.407
-3.604 -1.745 1.088
-1.172 0.797 1.602
0.000 0.000 0.000



Record 18
Dy3Sc5O12, relaxed, DFT PBE; Fermi-level density of states = 0.0 states/eV/f.u.; electronic total energy = -174.3 eV/f.u.; V = 1063 Å³/cell
1.0
11.135 0.000 0.000
-3.712 10.499 0.000
-3.712 -5.249 9.092
Dy Sc O
12 20 48
Cartesian
6.496 3.281 1.136
6.496 7.218 1.136
-0.928 4.593 5.682
0.928 -0.656 3.409
8.352 0.000 2.273
0.928 5.249 2.273
2.784 0.000 6.819
-4.640 5.249 6.819
2.784 5.905 5.682
4.640 0.656 3.409
-2.784 -1.968 7.955
-2.784 1.968 7.955
-0.928 2.625 2.273
-1.856 5.249 0.000
0.000 0.000 0.000
2.784 1.968 1.136
3.712 -2.625 4.546
3.712 5.249 0.000
-2.784 5.905 3.409
4.640 -3.281 7.955
4.640 4.593 3.409
0.928 -2.625 6.819
2.784 7.874 2.273
1.856 2.625 4.546
5.568 0.000 0.000
-1.856 -2.625 4.546
-0.928 0.656 5.682
-0.928 8.530 1.136
-3.712 2.625 4.546
6.496 -0.656 5.682
0.928 3.281 7.955
4.640 2.625 6.819
7.325 1.155 0.332
0.099 3.490 3.712
8.282 2.395 2.612
4.709 1.560 1.166
1.353 3.933 6.148
7.878 5.287 1.602
-0.859 6.084 3.778
-2.853 8.938 1.166
0.503 6.565 6.148
5.113 5.211 1.602
5.666 2.914 3.380
5.666 9.344 0.332
-3.209 4.666 4.878
2.310 3.843 0.768
-3.811 7.584 3.380
1.955 -1.760 5.380
-0.503 0.733 1.934
2.310 6.618 0.834
4.709 8.104 2.612
-0.455 3.881 0.834
-2.359 5.982 7.158
2.715 4.415 3.778
5.065 5.832 4.878
4.166 -1.406 8.324
0.997 0.835 5.314
-1.353 -0.583 4.214
-0.455 6.656 0.768
-0.997 -2.855 6.480
6.071 -0.733 1.934
4.166 1.368 8.258
1.401 -1.368 8.258
1.757 7.009 3.712
4.215 4.516 7.158
7.522 -2.335 5.712
6.921 0.583 4.214
-1.955 -4.094 8.760
1.401 1.406 8.324
3.209 -1.316 2.944
-1.401 0.038 7.490
-1.955 2.335 5.712
6.565 -3.689 7.926
4.571 -0.835 5.314
-0.997 3.689 7.926
-4.166 -0.038 7.490
2.359 1.316 2.944
-4.571 2.855 6.480
3.613 1.760 5.380
-3.613 4.094 8.760